DFT (PBE) results for an optimized crystal structure of TbPr3Nd12.

Properties
**D(E_F)**: 46.18 states/eV/cell
**Magnetization**: 0.00 μB per atom
**ΔH_f (0 K)**: 2.39 eV per formula unit

Cell lengths 13.448, 13.448, 13.448 Å; angles 45.76, 45.76, 45.76 degrees
Fractional coordinates of all 32 atoms:
1 Tb 0.000 0.000 0.000
2 Tb 0.500 0.500 0.500
3 Pr 0.196 0.380 0.919
4 Pr 0.380 0.919 0.196
5 Pr 0.419 0.880 0.696
6 Pr 0.696 0.419 0.880
7 Pr 0.880 0.696 0.419
8 Pr 0.919 0.196 0.380
9 Nd 0.010 0.047 0.700
10 Nd 0.037 0.401 0.318
11 Nd 0.047 0.700 0.010
12 Nd 0.072 0.788 0.644
13 Nd 0.144 0.288 0.572
14 Nd 0.149 0.867 0.222
15 Nd 0.200 0.547 0.510
16 Nd 0.222 0.149 0.867
17 Nd 0.288 0.572 0.144
18 Nd 0.318 0.037 0.401
19 Nd 0.367 0.649 0.722
20 Nd 0.401 0.318 0.037
21 Nd 0.510 0.200 0.547
22 Nd 0.537 0.818 0.901
23 Nd 0.547 0.510 0.200
24 Nd 0.572 0.144 0.288
25 Nd 0.644 0.072 0.788
26 Nd 0.649 0.722 0.367
27 Nd 0.700 0.010 0.047
28 Nd 0.722 0.367 0.649
29 Nd 0.788 0.644 0.072
30 Nd 0.818 0.901 0.537
31 Nd 0.867 0.222 0.149
32 Nd 0.901 0.537 0.818